1.
Material: Li3Cr2Fe3O10
Method: DFT, SCAN
State: PBEsol geometry

Cell and atoms, written as extended XYZ:
```
18
Lattice="4.941 -0.117 0.004 0.898 4.762 0.038 2.274 1.782 6.947" Properties=species:S:1:pos:R:3 pbc="T T T"
Li 4.134 4.392 2.859
Li 1.586 3.272 3.492
Li 3.979 2.035 4.129
Cr 2.386 5.427 4.841
Cr 5.727 1.000 2.147
Fe 2.471 -0.059 0.002
Fe 0.889 3.471 0.693
Fe 7.224 2.956 6.295
O 3.881 6.078 6.008
O 5.856 5.076 3.754
O 6.563 4.714 6.596
O 2.379 4.113 1.664
O 3.067 3.753 4.703
O 5.046 2.675 2.285
O 5.734 2.314 5.324
O 1.550 1.713 0.392
O 2.257 1.351 3.234
O 4.232 0.350 0.980
```

Symmetry ... P-1, No. 2
ΔE_f (raw) ... -1960.7 meV/atom



2.
Material: CdRe2Au
Method: DFT, SCAN
State: PBEsol geometry

Cell and atoms, written as extended XYZ:
```
4
Lattice="2.697 0.000 0.000 0.000 2.697 0.000 0.000 0.000 8.834" Properties=species:S:1:pos:R:3 pbc="T T T"
Au 1.349 1.349 0.000
Cd 1.349 1.349 4.417
Re 0.000 0.000 6.705
Re 0.000 0.000 2.129
```

Formation energy ... 0.73 eV/atom
Symmetry ... P4/mmm, No. 123



3.
Material: VSbO4
Method: DFT, SCAN
State: PBEsol geometry

Cell and atoms, written as extended XYZ:
```
6
Lattice="-0.895 2.667 1.369 -4.414 -1.168 -0.610 0.094 -2.078 4.111" Properties=species:S:1:pos:R:3 pbc="T T T"
Sb 0.000 0.000 0.000
O -2.972 -2.233 2.408
O -1.348 -1.013 1.092
O -1.246 -0.564 3.860
O -3.969 -0.015 1.009
V -2.607 -0.290 2.435
```

Symmetry ... Cmmm, No. 65
ΔE_f (raw) ... -2040.5 meV/atom



4.
Material: TcNi2Pt
Method: DFT, SCAN
State: PBEsol geometry

Cell and atoms, written as extended XYZ:
```
4
Lattice="2.640 0.000 0.000 0.000 2.640 0.000 0.000 0.000 7.126" Properties=species:S:1:pos:R:3 pbc="T T T"
Ni 0.000 0.000 0.049
Ni 1.320 1.320 1.655
Tc 1.320 1.320 5.477
Pt 0.000 0.000 3.507
```

Formation energy ... -0.06 eV/atom
E above lowest polymorph ... 0.0325 eV/atom
Symmetry ... P4mm, No. 99



5.
Material: MnReNi2
Method: DFT, SCAN
State: PBEsol geometry

Cell and atoms, written as extended XYZ:
```
4
Lattice="-2.070 1.482 -0.390 -1.263 -1.279 1.844 2.386 4.605 4.828" Properties=species:S:1:pos:R:3 pbc="T T T"
Mn 0.162 3.631 4.427
Ni 0.002 0.005 0.005
Ni -1.096 1.202 1.881
Re 1.178 2.273 2.383
```

Formation energy ... -0.01 eV/atom
E above lowest polymorph ... 0.0000 eV/atom
Symmetry ... P4mm, No. 99



6.
Material: NiSb3P6O24
Method: DFT, SCAN
State: PBEsol geometry

Cell and atoms, written as extended XYZ:
```
34
Lattice="-4.468 3.637 5.881 -7.803 2.156 -1.499 -6.387 -4.728 3.835" Properties=species:S:1:pos:R:3 pbc="T T T"
Ni -13.258 2.933 5.402
Sb -5.406 -1.883 2.820
Sb -10.360 -2.455 5.173
Sb -8.304 3.506 3.048
P -10.792 -1.776 1.927
P -7.112 -1.752 5.555
P -11.773 0.224 6.590
P -6.957 0.875 1.549
P -11.546 2.885 2.750
P -7.764 2.828 6.247
O -3.001 0.572 1.035
O -5.687 1.422 0.821
O -12.163 -1.115 2.242
O -4.275 1.797 3.240
O -10.045 -1.957 3.285
O -9.978 -0.917 1.010
O -6.823 -2.286 4.125
O -8.658 -1.582 5.678
O -11.312 -0.745 5.458
O -6.631 -0.458 2.260
O -8.079 0.749 0.559
O -12.137 1.497 2.417
O -6.436 -0.436 5.786
O -10.629 0.280 7.640
O -12.046 1.581 6.017
O -7.347 1.822 2.728
O -10.012 2.676 2.547
O -11.854 3.331 4.150
O -8.722 2.000 7.134
O -8.583 3.035 4.934
O -14.418 -0.746 4.987
O -6.467 2.123 5.974
O -12.971 -0.391 7.380
O -15.649 0.472 7.211
```

Symmetry ... R3, No. 146
ΔE_f (raw) ... -2022.2 meV/atom



7.
Material: IrSe2Cl
Method: DFT, SCAN
State: PBEsol geometry

Cell and atoms, written as extended XYZ:
```
4
Lattice="3.714 0.000 0.000 0.000 4.863 -0.263 0.000 -2.222 4.420" Properties=species:S:1:pos:R:3 pbc="T T T"
Ir 1.857 2.432 -0.131
Se 0.000 3.864 0.597
Se 0.000 -1.223 3.561
Cl 1.857 1.321 2.079
```

E above lowest polymorph ... 0.0000 eV/atom
Symmetry ... P2/m, No. 10
ΔE_f (raw) ... -237.7 meV/atom



8.
Material: H16PdC4S4N8Cl2
Method: DFT, SCAN
State: PBEsol geometry

Cell and atoms, written as extended XYZ:
```
70
Lattice="-0.836 5.597 -6.801 -10.107 -0.115 0.335 4.182 6.961 6.028" Properties=species:S:1:pos:R:3 pbc="T T T"
H 1.971 6.667 1.586
H -0.109 11.385 -0.030
H -0.331 6.800 4.381
H 0.492 5.975 2.242
H 0.718 7.903 -0.595
H -0.794 9.777 -0.226
H 0.898 4.295 -0.226
H -3.254 11.407 0.383
H -1.842 6.616 0.609
H -2.175 6.267 2.323
H -2.371 9.542 -2.672
H -1.689 8.020 -2.048
H -3.720 7.428 3.483
H -4.496 8.858 2.753
H -0.865 6.444 -3.433
H -0.697 6.785 -5.175
H -6.064 5.658 4.737
H -5.896 5.998 2.995
H -2.265 3.584 -3.191
H -3.041 5.014 -3.921
H -5.072 4.422 1.610
H -4.390 2.900 2.234
H -4.586 6.175 -2.761
H -4.919 5.826 -1.047
H -3.507 1.035 -0.821
H -7.659 8.147 -0.212
H -5.967 2.665 -0.212
H -7.479 4.539 0.157
H -7.253 6.467 -2.680
H -6.430 5.642 -4.819
H -6.652 1.057 -0.408
H -8.732 5.775 -2.024
Pd -1.254 2.606 -0.578
Pd -5.507 9.836 0.140
C 1.375 7.457 3.381
C 1.266 9.899 -0.351
C -3.201 7.848 1.552
C -1.554 8.261 -4.066
C -5.207 4.182 3.628
C -3.561 4.594 -1.990
C -8.027 2.543 -0.087
C -8.136 4.985 -3.819
S 2.757 8.505 3.398
S 2.559 11.048 -0.240
S -1.030 3.767 1.439
S -3.400 8.821 0.135
S -3.361 3.621 -0.573
S -5.731 8.675 -1.877
S -9.320 1.394 -0.198
S -9.518 3.937 -3.836
N 0.525 7.394 4.388
N 1.481 8.604 -0.489
N 1.227 6.685 2.301
N 0.027 10.388 -0.259
N -2.314 6.859 1.493
N -1.867 8.658 -2.837
N -3.883 8.040 2.671
N -1.029 7.057 -4.243
N -5.733 5.385 3.805
N -2.879 4.403 -3.109
N -4.895 3.784 2.398
N -4.447 5.583 -1.931
N -6.788 2.054 -0.180
N -7.988 5.757 -2.740
N -8.243 3.838 0.050
N -7.286 5.048 -4.826
Cl -2.250 5.973 4.669
Cl -0.471 6.233 -1.091
Cl -6.290 6.209 0.653
Cl -4.512 6.469 -5.107
```

Symmetry ... C2/c, No. 15
Energy ... -538.780 eV/cell



9.
Material: YFe2Co2
Method: DFT, SCAN
State: PBEsol geometry

Cell and atoms, written as extended XYZ:
```
5
Lattice="3.869 0.000 0.000 0.000 3.869 0.000 -1.935 -1.935 4.776" Properties=species:S:1:pos:R:3 pbc="T T T"
Y 0.000 0.000 0.000
Co 0.000 0.000 3.650
Co 1.935 1.935 1.126
Fe 0.000 1.935 2.388
Fe 1.935 0.000 2.388
```

Formation energy ... -0.07 eV/atom
E above lowest polymorph ... 0.0000 eV/atom
Symmetry ... I4/mmm, No. 139



10.
Material: BaAlSiH
Method: DFT, SCAN
State: PBEsol geometry

Cell and atoms, written as extended XYZ:
```
4
Lattice="-2.465 -0.911 3.409 0.108 -2.691 -3.358 3.875 -2.505 2.132" Properties=species:S:1:pos:R:3 pbc="T T T"
H -0.264 -2.412 -0.835
Si 0.498 -2.865 2.312
Ba 0.018 -0.012 0.010
Al 1.070 -3.274 -0.101
```

Symmetry ... P3m1, No. 156
Energy ... -62.812 eV/cell



11.
Material: MnCo4
Method: DFT, SCAN
State: PBEsol geometry

Cell and atoms, written as extended XYZ:
```
5
Lattice="3.489 0.000 0.000 0.000 3.489 0.000 -1.745 -1.745 5.003" Properties=species:S:1:pos:R:3 pbc="T T T"
Co 1.745 0.000 2.502
Co 0.000 0.000 3.943
Co 1.745 1.745 1.060
Co 0.000 1.745 2.502
Mn 0.000 0.000 0.000
```

Formation energy ... 0.28 eV/atom
E above lowest polymorph ... 0.1788 eV/atom
Symmetry ... I4/mmm, No. 139



12.
Material: TaCSe2Br
Method: DFT, SCAN
State: PBEsol geometry

Cell and atoms, written as extended XYZ:
```
5
Lattice="4.933 0.000 0.000 0.000 4.933 0.000 0.000 0.000 5.079" Properties=species:S:1:pos:R:3 pbc="T T T"
C 2.467 2.467 2.540
Se 0.000 2.467 0.000
Se 2.467 0.000 0.000
Br 0.000 0.000 2.540
Ta 0.000 0.000 0.000
```

Symmetry ... P4/mmm, No. 123
ΔE_f (raw) ... 1128.9 meV/atom